No. 1
DFT (PBE-GGA) results for an optimized crystal structure of Pu3MnGe3.

## Properties
The distance to the lowest polymorph of the same formula is 117.9 meV per atom. Its formation energy is -0.250 eV/atom. The calculation puts the density of states at the Fermi level at 24.4 states/eV/f.u. For the energy, the calculation gives -9.681 eV per atom.

abc: 6.3830 6.3830 7.7814
angles: 98.38 98.38 103.38
Positions (direct):
Pu (0.1377, 0.8623, 0.0000)
Pu (0.3004, 0.6996, 0.5000)
Pu (0.3972, 0.3972, 0.1205)
Pu (0.6028, 0.6028, 0.8795)
Pu (0.6996, 0.3004, 0.5000)
Pu (0.8623, 0.1377, 0.0000)
Mn (0.1272, 0.1272, 0.6442)
Mn (0.8728, 0.8728, 0.3558)
Ge (0.0953, 0.4581, 0.7917)
Ge (0.1754, 0.1754, 0.3575)
Ge (0.4581, 0.0953, 0.7917)
Ge (0.5419, 0.9047, 0.2083)
Ge (0.8246, 0.8246, 0.6425)
Ge (0.9047, 0.5419, 0.2083)



No. 2
DFT (PBE-GGA) results for an optimized crystal structure of Mg3ZnSe.

## Properties
The distance to the lowest polymorph of the same formula is 0.0 meV per atom. The formation energy (no corrections) is -186 meV/atom. The calculation puts the density of states at the Fermi level at 3.0 states/eV/f.u. For the energy, the calculation gives -2.094 eV per atom.

abc: 6.2800 6.2800 7.3597
angles: 90.00 90.00 120.00
Positions (direct):
Mg (0.1788, 0.3577, 0.2500)
Mg (0.1788, 0.8212, 0.2500)
Mg (0.3577, 0.1788, 0.7500)
Mg (0.6423, 0.8212, 0.2500)
Mg (0.8212, 0.1788, 0.7500)
Mg (0.8212, 0.6423, 0.7500)
Zn (0.3333, 0.6667, 0.7500)
Zn (0.6667, 0.3333, 0.2500)
Se (0.0000, 0.0000, 0.0000)
Se (0.0000, 0.0000, 0.5000)



No. 3
DFT (PBE-GGA) results for an optimized crystal structure of CrRu2Cl.

## Properties
The distance to the lowest polymorph of the same formula is 331.5 meV per atom. The formation energy (no corrections) is 628 meV/atom. The calculation puts the density of states at the Fermi level at 4.1 states/eV/f.u. For the energy, the calculation gives -6.877 eV per atom.

abc: 5.1082 5.1082 5.1082
angles: 147.74 129.87 60.88
Positions (direct):
Cr (0.0000, 0.0000, 0.0000)
Ru (0.2793, 0.7793, 0.5000)
Ru (0.5471, 0.5471, 0.0000)
Cl (0.7849, 0.2849, 0.5000)



No. 4
DFT (PBE-GGA) results for an optimized crystal structure of BaRuCl2.

## Properties
The distance to the lowest polymorph of the same formula is 0.0 meV per atom. The formation energy (no corrections) is -773 meV/atom. The calculation puts the density of states at the Fermi level at 0.2 states/eV/f.u. For the energy, the calculation gives -4.496 eV per atom.

abc: 5.6612 5.6612 5.6612
angles: 140.95 120.75 73.26
Positions (direct):
Ba (0.0000, 0.0000, 0.0000)
Ru (0.5000, 0.5000, 0.0000)
Cl (0.3295, 0.8295, 0.5000)
Cl (0.6705, 0.1705, 0.5000)



No. 5
DFT (PBE-GGA) results for an optimized crystal structure of Li2ZnSnAu4.

## Properties
Its formation energy is -0.405 eV/atom. The calculation puts the density of states at the Fermi level at 1.3 states/eV/f.u. For the energy, the calculation gives -3.182 eV per atom.

abc: 8.0857 8.0857 8.0857
angles: 32.66 32.66 32.66
Positions (direct):
Li (0.2500, 0.2500, 0.2500)
Li (0.7500, 0.7500, 0.7500)
Zn (0.0000, 0.0000, 0.0000)
Sn (0.5000, 0.5000, 0.5000)
Au (0.1153, 0.1153, 0.1153)
Au (0.3696, 0.3696, 0.3696)
Au (0.6304, 0.6304, 0.6304)
Au (0.8847, 0.8847, 0.8847)



No. 6
DFT (PBE-GGA) results for an optimized crystal structure of Y5TlAu4.

## Properties
Its formation energy is -0.763 eV/atom. The calculation puts the density of states at the Fermi level at 6.5 states/eV/f.u. For the energy, the calculation gives -5.543 eV per atom.

abc: 3.6060 3.6060 18.6630
angles: 90.00 90.00 90.00
Positions (direct):
Y (0.0000, 0.0000, 0.0000)
Y (0.0000, 0.0000, 0.1942)
Y (0.0000, 0.0000, 0.3872)
Y (0.0000, 0.0000, 0.6128)
Y (0.0000, 0.0000, 0.8058)
Tl (0.5000, 0.5000, 0.5000)
Au (0.5000, 0.5000, 0.0968)
Au (0.5000, 0.5000, 0.2921)
Au (0.5000, 0.5000, 0.7079)
Au (0.5000, 0.5000, 0.9032)



No. 7
DFT (PBE-GGA) results for an optimized crystal structure of Li3Mg2Tl8.

## Properties
Its formation energy is -0.022 eV/atom. The calculation puts the density of states at the Fermi level at 5.4 states/eV/f.u. For the energy, the calculation gives -2.165 eV per atom.

abc: 7.8696 7.8696 6.1654
angles: 96.00 96.00 65.22
Positions (direct):
Li (0.0000, 0.0000, 0.0000)
Li (0.1743, 0.8257, 0.5000)
Li (0.8257, 0.1743, 0.5000)
Mg (0.2055, 0.2055, 0.8014)
Mg (0.7945, 0.7945, 0.1986)
Tl (0.1787, 0.1787, 0.3056)
Tl (0.1920, 0.5784, 0.0925)
Tl (0.4014, 0.4014, 0.6131)
Tl (0.4216, 0.8080, 0.9075)
Tl (0.5784, 0.1920, 0.0925)
Tl (0.5986, 0.5986, 0.3869)
Tl (0.8080, 0.4216, 0.9075)
Tl (0.8213, 0.8213, 0.6944)



No. 8
DFT (PBE-GGA) results for an optimized crystal structure of Th2AsSe2.

## Properties
The distance to the lowest polymorph of the same formula is 87.9 meV per atom. The formation energy (no corrections) is -1447 meV/atom. The calculation puts the density of states at the Fermi level at 2.0 states/eV/f.u. For the energy, the calculation gives -6.738 eV per atom.

abc: 7.5967 7.5967 7.5967
angles: 148.13 134.74 56.42
Positions (direct):
Th (0.1512, 0.1512, 0.0000)
Th (0.8488, 0.8488, 0.0000)
As (0.0000, 0.5000, 0.5000)
Se (0.3160, 0.8160, 0.5000)
Se (0.6840, 0.1840, 0.5000)



No. 9
DFT (PBE-GGA) results for an optimized crystal structure of SrZrSCl2.

## Properties
The distance to the lowest polymorph of the same formula is 0.0 meV per atom. The formation energy (no corrections) is -1441 meV/atom. The calculation puts the density of states at the Fermi level at 2.0 states/eV/f.u. For the energy, the calculation gives -5.051 eV per atom.

abc: 5.0428 5.0428 5.0890
angles: 90.00 90.00 90.00
Positions (direct):
Sr (0.0000, 0.0000, 0.0000)
Zr (0.5000, 0.5000, 0.5000)
S (0.5000, 0.5000, 0.0000)
Cl (0.0000, 0.5000, 0.5000)
Cl (0.5000, 0.0000, 0.5000)



No. 10
DFT (PBE-GGA) results for an optimized crystal structure of Na2Zr2AlS6.

## Properties
The formation energy (no corrections) is -1380 meV/atom. The calculation puts the density of states at the Fermi level at 3.0 states/eV/f.u. For the energy, the calculation gives -5.765 eV per atom.

abc: 6.3671 6.3671 7.1211
angles: 98.78 98.78 119.90
Positions (direct):
Na (0.1692, 0.8308, 0.0000)
Na (0.8308, 0.1692, 0.0000)
Zr (0.3327, 0.6673, 0.5000)
Zr (0.6673, 0.3327, 0.5000)
Al (0.0000, 0.0000, 0.5000)
S (0.0722, 0.3899, 0.7106)
S (0.2419, 0.2419, 0.2942)
S (0.3899, 0.0722, 0.7106)
S (0.6101, 0.9278, 0.2894)
S (0.7581, 0.7581, 0.7058)
S (0.9278, 0.6101, 0.2894)



No. 11
DFT (PBE-GGA) results for an optimized crystal structure of SmHoZr2.

## Properties
The distance to the lowest polymorph of the same formula is 0.0 meV per atom. Its formation energy is 0.146 eV/atom. The calculation puts the density of states at the Fermi level at 5.0 states/eV/f.u. For the energy, the calculation gives -6.453 eV per atom.

abc: 4.7225 4.7225 4.8281
angles: 90.00 90.00 90.00
Positions (direct):
Sm (0.0000, 0.0000, 0.0000)
Ho (0.5000, 0.5000, 0.0000)
Zr (0.0000, 0.5000, 0.5000)
Zr (0.5000, 0.0000, 0.5000)



No. 12
DFT (PBE-GGA) results for an optimized crystal structure of LaY3Pu2Se6.

## Properties
The formation energy (no corrections) is -1746 meV/atom. The calculation puts the density of states at the Fermi level at 20.1 states/eV/f.u. For the energy, the calculation gives -7.904 eV per atom.

abc: 7.1561 7.1561 7.2270
angles: 99.51 99.51 120.03
Positions (direct):
La (0.0000, 0.0000, 0.0000)
Y (0.1641, 0.8359, 0.5000)
Y (0.5000, 0.5000, 0.5000)
Y (0.8359, 0.1641, 0.5000)
Pu (0.3329, 0.6671, 0.0000)
Pu (0.6671, 0.3329, 0.0000)
Se (0.0867, 0.4271, 0.2596)
Se (0.2548, 0.2548, 0.7425)
Se (0.4271, 0.0867, 0.2596)
Se (0.5729, 0.9133, 0.7404)
Se (0.7452, 0.7452, 0.2575)
Se (0.9133, 0.5729, 0.7404)



No. 13
DFT (PBE-GGA) results for an optimized crystal structure of TcAsCl2.

## Properties
The distance to the lowest polymorph of the same formula is 774.5 meV per atom. The formation energy (no corrections) is 560 meV/atom. The calculation puts the density of states at the Fermi level at 1.2 states/eV/f.u. For the energy, the calculation gives -4.117 eV per atom.

abc: 4.6868 4.6868 4.6868
angles: 120.11 120.11 89.82
Positions (direct):
Tc (0.0000, 0.0000, 0.0000)
As (0.2500, 0.7500, 0.5000)
Cl (0.5000, 0.5000, 0.0000)
Cl (0.7500, 0.2500, 0.5000)



No. 14
DFT (PBE-GGA) results for an optimized crystal structure of Sr3CdRh.

## Properties
The distance to the lowest polymorph of the same formula is 0.0 meV per atom. Its formation energy is -0.244 eV/atom. The calculation puts the density of states at the Fermi level at 3.2 states/eV/f.u. For the energy, the calculation gives -2.907 eV per atom.

abc: 10.2104 9.3874 6.3957
angles: 78.09 64.11 37.80
Positions (direct):
Sr (0.1981, 0.1981, 0.8019)
Sr (0.2004, 0.5762, 0.4238)
Sr (0.4238, 0.7996, 0.2004)
Sr (0.5762, 0.2004, 0.7996)
Sr (0.7996, 0.4238, 0.5762)
Sr (0.8019, 0.8019, 0.1981)
Cd (0.1996, 0.8004, 0.8004)
Cd (0.8004, 0.1996, 0.1996)
Rh (0.2500, 0.2500, 0.2500)
Rh (0.7500, 0.7500, 0.7500)



No. 15
DFT (PBE-GGA) results for an optimized crystal structure of Al3GaAg2.

## Properties
The distance to the lowest polymorph of the same formula is 0.0 meV per atom. Its formation energy is -0.010 eV/atom. The calculation puts the density of states at the Fermi level at 2.3 states/eV/f.u. For the energy, the calculation gives -3.336 eV per atom.

abc: 3.0315 3.0315 25.8782
angles: 90.00 90.00 120.00
Positions (direct):
Al (0.0000, 0.0000, 0.0000)
Al (0.0000, 0.0000, 0.5000)
Al (0.3333, 0.6667, 0.1669)
Al (0.3333, 0.6667, 0.3331)
Al (0.6667, 0.3333, 0.6669)
Al (0.6667, 0.3333, 0.8331)
Ga (0.0000, 0.0000, 0.2500)
Ga (0.0000, 0.0000, 0.7500)
Ag (0.3333, 0.6667, 0.5837)
Ag (0.3333, 0.6667, 0.9163)
Ag (0.6667, 0.3333, 0.0837)
Ag (0.6667, 0.3333, 0.4163)



No. 16
DFT (PBE-GGA) results for an optimized crystal structure of Ac6Si2Te3Cl.

## Properties
The formation energy (no corrections) is -1257 meV/atom. The calculation puts the density of states at the Fermi level at 4.6 states/eV/f.u. For the energy, the calculation gives -5.154 eV per atom.

abc: 10.4612 10.4612 9.3616
angles: 104.37 104.37 25.45
Positions (direct):
Ac (0.0109, 0.0109, 0.2536)
Ac (0.3266, 0.3266, 0.4336)
Ac (0.3313, 0.3313, 0.8928)
Ac (0.6687, 0.6687, 0.1072)
Ac (0.6734, 0.6734, 0.5664)
Ac (0.9891, 0.9891, 0.7464)
Si (0.1650, 0.1650, 0.3280)
Si (0.8350, 0.8350, 0.6720)
Te (0.1623, 0.1623, 0.8333)
Te (0.5000, 0.5000, 0.5000)
Te (0.8377, 0.8377, 0.1667)
Cl (0.5000, 0.5000, 0.0000)



No. 17
DFT (PBE-GGA) results for an optimized crystal structure of RbSi2Pd2.

## Properties
The distance to the lowest polymorph of the same formula is 92.2 meV per atom. The formation energy (no corrections) is -231 meV/atom. The calculation puts the density of states at the Fermi level at 2.3 states/eV/f.u. For the energy, the calculation gives -4.670 eV per atom.

abc: 7.2169 7.2169 7.2169
angles: 145.79 145.79 49.16
Positions (direct):
Rb (0.0000, 0.0000, 0.0000)
Si (0.2500, 0.7500, 0.5000)
Si (0.7500, 0.2500, 0.5000)
Pd (0.3384, 0.3384, 0.0000)
Pd (0.6616, 0.6616, 0.0000)



No. 18
DFT (PBE-GGA) results for an optimized crystal structure of PmSc3B4O12.

## Properties
The formation energy (no corrections) is -3037 meV/atom. The calculation puts the density of states at the Fermi level at 0.0 states/eV/f.u. For the energy, the calculation gives -8.535 eV per atom.

abc: 6.2873 6.2873 6.2873
angles: 103.30 103.30 103.30
Positions (direct):
Pm (0.0000, 0.0000, 0.0000)
Sc (0.0000, 0.5465, 0.4535)
Sc (0.4535, 0.0000, 0.5465)
Sc (0.5465, 0.4535, 0.0000)
B (0.0477, 0.5000, 0.9523)
B (0.5000, 0.5000, 0.5000)
B (0.5000, 0.9523, 0.0477)
B (0.9523, 0.0477, 0.5000)
O (0.0300, 0.6308, 0.8032)
O (0.0927, 0.9073, 0.5000)
O (0.1968, 0.3692, 0.9700)
O (0.3595, 0.6405, 0.5000)
O (0.3692, 0.9699, 0.1968)
O (0.5000, 0.0927, 0.9073)
O (0.5000, 0.3595, 0.6405)
O (0.6308, 0.8032, 0.0301)
O (0.6405, 0.5000, 0.3595)
O (0.8032, 0.0301, 0.6308)
O (0.9073, 0.5000, 0.0927)
O (0.9700, 0.1968, 0.3692)



No. 19
DFT (PBE-GGA) results for an optimized crystal structure of As3Ru.

## Properties
The distance to the lowest polymorph of the same formula is 91.4 meV per atom. Its formation energy is 0.067 eV/atom. The calculation puts the density of states at the Fermi level at 2.2 states/eV/f.u. For the energy, the calculation gives -5.739 eV per atom.

abc: 4.9532 4.9532 4.9532
angles: 134.02 78.11 120.74
Positions (direct):
As (0.0000, 0.0000, 0.0000)
As (0.3961, 0.5821, 0.8140)
As (0.7681, 0.5821, 0.1860)
Ru (0.3133, 0.8133, 0.5000)



No. 20
DFT (PBE-GGA) results for an optimized crystal structure of TaBeSi.

## Properties
The formation energy (no corrections) is -31 meV/atom. The calculation puts the density of states at the Fermi level at 1.3 states/eV/f.u. For the energy, the calculation gives -7.032 eV per atom.

abc: 4.8901 4.8901 4.8901
angles: 147.04 140.46 52.40
Positions (direct):
Ta (0.0000, 0.0000, 0.0000)
Be (0.6827, 0.6827, 0.0000)
Si (0.3074, 0.3074, 0.0000)



No. 21
DFT (PBE-GGA) results for an optimized crystal structure of Pm2NdSm6Ho3.

## Properties
Its formation energy is 0.016 eV/atom. The calculation puts the density of states at the Fermi level at 15.9 states/eV/f.u. For the energy, the calculation gives -4.677 eV per atom.

abc: 6.2578 6.2578 11.9541
angles: 95.00 95.00 119.99
Positions (direct):
Pm (0.1666, 0.8334, 0.0000)
Pm (0.8334, 0.1666, 0.0000)
Nd (0.5000, 0.5000, 0.0000)
Sm (0.0818, 0.4154, 0.7461)
Sm (0.2511, 0.2511, 0.2539)
Sm (0.4154, 0.0818, 0.7461)
Sm (0.5846, 0.9182, 0.2539)
Sm (0.7489, 0.7489, 0.7461)
Sm (0.9182, 0.5846, 0.2539)
Ho (0.0000, 0.0000, 0.5000)
Ho (0.3333, 0.6667, 0.5000)
Ho (0.6667, 0.3333, 0.5000)



No. 22
DFT (PBE-GGA) results for an optimized crystal structure of KSO2.

## Properties
The formation energy (no corrections) is -505 meV/atom. The calculation puts the density of states at the Fermi level at 1.4 states/eV/f.u. For the energy, the calculation gives -4.291 eV per atom.

abc: 6.4905 6.4905 6.4905
angles: 133.17 133.17 68.39
Positions (direct):
K (0.0000, 0.0000, 0.0000)
K (0.7500, 0.2500, 0.5000)
S (0.2500, 0.7500, 0.5000)
S (0.5000, 0.5000, 0.0000)
O (0.2688, 0.6250, 0.1438)
O (0.3750, 0.5188, 0.6438)
O (0.4812, 0.1250, 0.8562)
O (0.8750, 0.7312, 0.3562)



No. 23
DFT (PBE-GGA) results for an optimized crystal structure of H2PdPb.

## Properties
The distance to the lowest polymorph of the same formula is 0.0 meV per atom. The calculation puts the density of states at the Fermi level at 1.1 states/eV/f.u. For the energy, the calculation gives -3.914 eV per atom.

abc: 4.8992 4.8992 5.5578
angles: 102.88 102.88 107.03
Positions (direct):
H (0.1183, 0.8438, 0.5177)
H (0.1562, 0.8817, 0.9823)
H (0.8438, 0.1183, 0.0177)
H (0.8817, 0.1562, 0.4823)
Pd (0.0256, 0.9744, 0.2500)
Pd (0.9744, 0.0256, 0.7500)
Pb (0.4002, 0.5998, 0.2500)
Pb (0.5998, 0.4002, 0.7500)



No. 24
DFT (PBE-GGA) results for an optimized crystal structure of SnH2Pd7Pb2.

## Properties
The calculation puts the density of states at the Fermi level at 3.4 states/eV/f.u. For the energy, the calculation gives -4.834 eV per atom.

abc: 4.0364 4.0364 11.8842
angles: 99.77 99.77 89.94
Positions (direct):
Sn (0.0000, 0.0000, 0.0000)
H (0.4109, 0.4109, 0.8217)
H (0.5891, 0.5891, 0.1783)
Pd (0.0873, 0.5873, 0.1760)
Pd (0.3253, 0.3253, 0.6481)
Pd (0.4127, 0.9127, 0.8240)
Pd (0.5000, 0.5000, 0.0000)
Pd (0.5873, 0.0873, 0.1760)
Pd (0.6747, 0.6747, 0.3519)
Pd (0.9127, 0.4127, 0.8240)
Pb (0.1981, 0.1981, 0.3980)
Pb (0.8019, 0.8019, 0.6020)